1.
## BaCo2Te (PBE)

Data for a relaxed structure of BaCo2Te.

Cell: 3.7297 3.7297 6.8007 Å, 90.00 90.00 90.10°
Last column: nearest neighbours and their distance in Å.
Element x y z (fractional)
Ba: 0.5000 0.5000 0.7500  2 Te 3.40, 8 Co 3.50, 4 Ba 3.73
Co: 0.0000 0.0000 0.0891  1 Co 2.19
Co: 0.0000 0.0000 0.4109  1 Co 2.19
Te: 0.5000 0.5000 0.2500  8 Co 2.85-2.86

Computed properties:
Total moment   3.404 μB/f.u.
VASP energy   -4.392 eV/atom

***

2.
## Zn5Cu (PBE)

Data for a relaxed structure of Zn5Cu.

Cell: 4.9410 4.9410 4.4328 Å, 90.00 90.00 120.00°
Last column: nearest neighbours and their distance in Å.
Element x y z (fractional)
Zn: 0.3333 0.6667 0.0000  9 Zn 2.64-2.85, 3 Cu 2.85
Zn: 0.6667 0.3333 0.0000  9 Zn 2.64-2.85, 3 Cu 2.85
Zn: 0.5000 0.0000 0.5000  8 Zn 2.47-2.64
Zn: 0.0000 0.5000 0.5000  8 Zn 2.47-2.64
Zn: 0.5000 0.5000 0.5000  8 Zn 2.47-2.64
Cu: 0.0000 0.0000 0.0000  6 Zn 2.85

Computed properties:
Total moment   0.000 μB/f.u.
VASP energy   -1.574 eV/atom

***

3.
## PaTcOs (PBE)

Data for a relaxed structure of PaTcOs.

Cell: 4.2301 4.0917 4.0917 Å, 120.00 90.00 90.00°
Last column: nearest neighbours and their distance in Å.
Element x y z (fractional)
Pa: 0.6677 0.3333 0.6667  3 Os 2.97, 3 Tc 2.97
Os: 0.0915 0.0000 0.0000  3 Tc 2.45
Tc: 0.2408 0.6667 0.3333  3 Os 2.45

Computed properties:
Total moment   0.000 μB/f.u.
VASP energy   -10.304 eV/atom
Excess energy over the best structure of this formula in the dataset   0.319 eV/atom

***

4.
## HfBe2InSe (PBE)

Data for a relaxed structure of HfBe2InSe.

Cell: 4.2584 5.6860 4.2584 Å, 90.00 90.00 90.00°
Last column: nearest neighbours and their distance in Å.
Element x y z (fractional)
Be: 0.0000 0.0000 0.5000  2 Se 2.13
Be: 0.5000 0.0000 0.0000  2 Se 2.13
Hf: 0.5000 0.5000 0.5000  4 In 3.01
Se: 0.0000 0.0000 0.0000  4 Be 2.13
In: 0.0000 0.5000 0.0000  2 Se 2.84, 4 Hf 3.01

Computed properties:
Total moment   0.000 μB/f.u.
VASP energy   -3.868 eV/atom

***

5.
## BH2Pt (PBE)

Data for a relaxed structure of BH2Pt.

Cell: 3.4719 3.4719 3.4719 Å, 60.00 60.00 60.00°
Last column: nearest neighbours and their distance in Å.
Element x y z (fractional)
H: 0.2500 0.2500 0.2500  4 B 2.13, 4 Pt 2.13
H: 0.7500 0.7500 0.7500  4 Pt 2.13, 4 B 2.13
B: 0.0000 0.0000 0.0000  8 H 2.13
Pt: 0.5000 0.5000 0.5000  8 H 2.13

Computed properties:
Total moment   0.000 μB/f.u.
VASP energy   -3.679 eV/atom
Excess energy over the best structure of this formula in the dataset   0.614 eV/atom

***

6.
## K2HPdPb (PBE)

Data for a relaxed structure of K2HPdPb.

Cell: 6.6587 3.9735 6.6587 Å, 90.00 90.00 90.00°
Last column: nearest neighbours and their distance in Å.
Element x y z (fractional)
Pb: 0.0000 0.0000 0.0000  2 H 1.99
H: 0.0000 0.5000 0.0000  2 Pb 1.99
K: 0.0000 0.0000 0.5000  2 Pb 3.33
K: 0.5000 0.0000 0.0000  2 Pb 3.33
Pd: 0.5000 0.5000 0.5000  8 K 3.88, 2 Pd 3.97

Computed properties:
Total moment   0.000 μB/f.u.
VASP energy   -2.345 eV/atom

***

Please write out number 2 again, unchanged.
## Zn5Cu (PBE)

Data for a relaxed structure of Zn5Cu.

Cell: 4.9410 4.9410 4.4328 Å, 90.00 90.00 120.00°
Last column: nearest neighbours and their distance in Å.
Element x y z (fractional)
Zn: 0.3333 0.6667 0.0000  9 Zn 2.64-2.85, 3 Cu 2.85
Zn: 0.6667 0.3333 0.0000  9 Zn 2.64-2.85, 3 Cu 2.85
Zn: 0.5000 0.0000 0.5000  8 Zn 2.47-2.64
Zn: 0.0000 0.5000 0.5000  8 Zn 2.47-2.64
Zn: 0.5000 0.5000 0.5000  8 Zn 2.47-2.64
Cu: 0.0000 0.0000 0.0000  6 Zn 2.85

Computed properties:
Total moment   0.000 μB/f.u.
VASP energy   -1.574 eV/atom

***

Q: Look up the total moment of the second one.
A: 0.000 μB/f.u.